Record 1
# Th2TiZnN5 (PBE, relaxed)
data_Th2TiZnN5
_chemical_formula_sum 'Th4 Ti2 Zn2 N10'
_cell_length_a 3.3801
_cell_length_b 7.1041
_cell_length_c 10.0536
_cell_angle_alpha 90.00
_cell_angle_beta 90.00
_cell_angle_gamma 103.76
_space_group_name_H-M_alt 'P 1'
_space_group_IT_number 1
loop_
_space_group_symop_operation_xyz
'x,y,z'
loop_
_atom_site_label
_atom_site_type_symbol
_atom_site_fract_x
_atom_site_fract_y
_atom_site_fract_z
N1 N 0.3508 0.7016 0.0048
N2 N 0.0587 0.1174 0.0599
Zn1 Zn 0.5412 0.0824 0.9650
Th1 Th 0.1319 0.2637 0.3005
Zn2 Zn 0.4588 0.9176 0.4650
N3 N 0.2870 0.5740 0.6540
N4 N 0.9413 0.8826 0.5599
Th2 Th 0.8860 0.7719 0.1858
N5 N 0.7130 0.4260 0.1540
Ti1 Ti 0.2075 0.4151 0.0054
N6 N 0.5023 0.0045 0.2753
Th3 Th 0.8681 0.7363 0.8005
N7 N 0.3060 0.6120 0.3731
N8 N 0.6492 0.2984 0.5048
Th4 Th 0.1140 0.2281 0.6858
N9 N 0.4977 0.9955 0.7753
N10 N 0.6940 0.3880 0.8731
Ti2 Ti 0.7925 0.5849 0.5054
# N(E_F) = 0.62 states/eV per atom
# E_tot = -8.3297 eV/atom
# total moment = 0.00 μB per formula unit
# space group = Cmc2_1 (36)
# energy relative to the elements, uncorrected = -1.0369 eV per atom



Record 2
# Zr2CdRu (PBE, relaxed)
data_Zr2CdRu
_chemical_formula_sum 'Zr2 Cd1 Ru1'
_cell_length_a 3.2449
_cell_length_b 3.2753
_cell_length_c 8.1580
_cell_angle_alpha 66.33
_cell_angle_beta 90.00
_cell_angle_gamma 90.00
_space_group_name_H-M_alt 'P 1'
_space_group_IT_number 1
loop_
_space_group_symop_operation_xyz
'x,y,z'
loop_
_atom_site_label
_atom_site_type_symbol
_atom_site_fract_x
_atom_site_fract_y
_atom_site_fract_z
Cd1 Cd 0.5000 0.2500 0.2500
Zr1 Zr 0.0000 0.4695 0.5310
Zr2 Zr 0.0000 0.0305 0.9690
Ru1 Ru 0.5000 0.7500 0.7500
# ΔE_f = -0.33 eV/atom
# N(E_F) = 0.68 states/eV per atom
# E_tot = -7.1544 eV/atom
# total moment = 0.00 μB per formula unit
# space group = Pmmm (47)



Record 3
# Tb2NdY6Tm (PBE, relaxed)
data_Tb2NdY6Tm
_chemical_formula_sum 'Tb4 Nd2 Y12 Tm2'
_cell_length_a 9.7445
_cell_length_b 8.7641
_cell_length_c 8.7641
_cell_angle_alpha 117.41
_cell_angle_beta 94.96
_cell_angle_gamma 94.96
_space_group_name_H-M_alt 'P 1'
_space_group_IT_number 1
loop_
_space_group_symop_operation_xyz
'x,y,z'
loop_
_atom_site_label
_atom_site_type_symbol
_atom_site_fract_x
_atom_site_fract_y
_atom_site_fract_z
Tb1 Tb 0.0447 0.2901 0.1906
Y1 Y 0.6828 0.0237 0.5768
Y2 Y 0.3172 0.9763 0.4232
Tm1 Tm 0.7500 0.0215 0.9785
Tb2 Tb 0.9553 0.7099 0.8094
Y3 Y 0.9440 0.8797 0.2492
Nd1 Nd 0.2500 0.4053 0.5947
Y4 Y 0.1200 0.7063 0.4984
Y5 Y 0.3800 0.5016 0.2937
Tm2 Tm 0.2500 0.9785 0.0215
Nd2 Nd 0.7500 0.5947 0.4053
Tb3 Tb 0.5447 0.1906 0.2901
Y6 Y 0.0560 0.1203 0.7508
Y7 Y 0.4440 0.2492 0.8797
Y8 Y 0.1828 0.5768 0.0237
Y9 Y 0.5560 0.7508 0.1203
Y10 Y 0.8172 0.4232 0.9763
Y11 Y 0.8800 0.2937 0.5016
Y12 Y 0.6200 0.4984 0.7063
Tb4 Tb 0.4553 0.8094 0.7099
# ΔE_f = 0.12 eV/atom
# N(E_F) = 1.56 states/eV per atom
# E_tot = -5.6077 eV/atom
# total moment = 0.00 μB per formula unit
# space group = C2/c (15)



Record 4
# Tb6Pm4Dy (PBE, relaxed)
data_Tb6Pm4Dy
_chemical_formula_sum 'Tb6 Pm4 Dy1'
_cell_length_a 8.6030
_cell_length_b 8.6030
_cell_length_c 8.6030
_cell_angle_alpha 76.45
_cell_angle_beta 128.11
_cell_angle_gamma 128.11
_space_group_name_H-M_alt 'P 1'
_space_group_IT_number 1
loop_
_space_group_symop_operation_xyz
'x,y,z'
loop_
_atom_site_label
_atom_site_type_symbol
_atom_site_fract_x
_atom_site_fract_y
_atom_site_fract_z
Tb1 Tb 0.6675 0.2535 0.2535
Tb2 Tb 0.5000 0.0000 0.5000
Tb3 Tb 0.3325 0.5860 0.5860
Tb4 Tb 0.0000 0.4140 0.7465
Pm1 Pm 0.0000 0.0397 0.5852
Tb5 Tb 0.5000 0.5000 0.0000
Pm2 Pm 0.4545 0.4148 0.4148
Pm3 Pm 0.0000 0.5852 0.0397
Tb6 Tb 0.0000 0.7465 0.4140
Pm4 Pm 0.5455 0.9603 0.9603
Dy1 Dy 0.0000 0.0000 0.0000
# ΔE_f = 0.38 eV/atom
# N(E_F) = 1.33 states/eV per atom
# E_tot = -4.2926 eV/atom
# total moment = 0.00 μB per formula unit
# space group = I-42m (121)
# energy above the lowest structure with this stoichiometry = 0 meV/atom



Record 5
# Tm6CSe3N2 (PBE, relaxed)
data_Tm6CSe3N2
_chemical_formula_sum 'Tm6 C1 Se3 N2'
_cell_length_a 6.3028
_cell_length_b 6.3028
_cell_length_c 6.7508
_cell_angle_alpha 98.92
_cell_angle_beta 98.92
_cell_angle_gamma 120.01
_space_group_name_H-M_alt 'P 1'
_space_group_IT_number 1
loop_
_space_group_symop_operation_xyz
'x,y,z'
loop_
_atom_site_label
_atom_site_type_symbol
_atom_site_fract_x
_atom_site_fract_y
_atom_site_fract_z
Tm1 Tm 0.2671 0.2671 0.8005
Se1 Se 0.8336 0.1664 0.5000
Tm2 Tm 0.7329 0.7329 0.1995
Se2 Se 0.1664 0.8336 0.5000
Tm3 Tm 0.0666 0.3999 0.1998
Tm4 Tm 0.9334 0.6001 0.8002
Se3 Se 0.5000 0.5000 0.5000
Tm5 Tm 0.6001 0.9334 0.8002
N1 N 0.6666 0.3334 0.0000
Tm6 Tm 0.3999 0.0666 0.1998
N2 N 0.3334 0.6666 0.0000
C1 C 0.0000 0.0000 0.0000
# N(E_F) = 0.19 states/eV per atom
# E_tot = -6.8281 eV/atom
# total moment = 0.00 μB per formula unit
# space group = C2/m (12)
# energy relative to the elements, uncorrected = -1.5650 eV per atom



Record 6
# Li5Hg2Pb2 (PBE, relaxed)
data_Li5Hg2Pb2
_chemical_formula_sum 'Li5 Hg2 Pb2'
_cell_length_a 5.0556
_cell_length_b 5.2969
_cell_length_c 8.6824
_cell_angle_alpha 65.00
_cell_angle_beta 73.07
_cell_angle_gamma 61.50
_space_group_name_H-M_alt 'P 1'
_space_group_IT_number 1
loop_
_space_group_symop_operation_xyz
'x,y,z'
loop_
_atom_site_label
_atom_site_type_symbol
_atom_site_fract_x
_atom_site_fract_y
_atom_site_fract_z
Li1 Li 0.0000 0.0000 0.0000
Li2 Li 0.1111 0.4528 0.3250
Li3 Li 0.5447 0.2309 0.6797
Pb1 Pb 0.7785 0.0964 0.3466
Li4 Li 0.8889 0.5472 0.6750
Li5 Li 0.4553 0.7691 0.3203
Hg1 Hg 0.6630 0.6868 0.9873
Hg2 Hg 0.3370 0.3132 0.0127
Pb2 Pb 0.2215 0.9036 0.6534
# ΔE_f = -0.28 eV/atom
# N(E_F) = 0.30 states/eV per atom
# E_tot = -2.2392 eV/atom
# total moment = 0.00 μB per formula unit
# space group = C2/m (12)
# energy above the lowest structure with this stoichiometry = 0 meV/atom



Record 7
# MgTaCuP2 (PBE, relaxed)
data_MgTaCuP2
_chemical_formula_sum 'Mg1 Ta1 Cu1 P2'
_cell_length_a 4.6288
_cell_length_b 4.2383
_cell_length_c 4.6288
_cell_angle_alpha 90.00
_cell_angle_beta 90.00
_cell_angle_gamma 90.00
_space_group_name_H-M_alt 'P 1'
_space_group_IT_number 1
loop_
_space_group_symop_operation_xyz
'x,y,z'
loop_
_atom_site_label
_atom_site_type_symbol
_atom_site_fract_x
_atom_site_fract_y
_atom_site_fract_z
Ta1 Ta 0.5000 0.5000 0.5000
P1 P 0.0000 0.0000 0.5000
P2 P 0.5000 0.0000 0.0000
Mg1 Mg 0.0000 0.0000 0.0000
Cu1 Cu 0.0000 0.5000 0.0000
# ΔE_f = 1.19 eV/atom
# N(E_F) = 0.83 states/eV per atom
# E_tot = -4.4812 eV/atom
# total moment = 0.00 μB per formula unit
# space group = P4/mmm (123)



Record 8
# LaGa2CuPt5 (PBE, relaxed)
data_LaGa2CuPt5
_chemical_formula_sum 'La1 Ga2 Cu1 Pt5'
_cell_length_a 4.0528
_cell_length_b 4.0528
_cell_length_c 11.0157
_cell_angle_alpha 90.00
_cell_angle_beta 90.00
_cell_angle_gamma 90.00
_space_group_name_H-M_alt 'P 1'
_space_group_IT_number 1
loop_
_space_group_symop_operation_xyz
'x,y,z'
loop_
_atom_site_label
_atom_site_type_symbol
_atom_site_fract_x
_atom_site_fract_y
_atom_site_fract_z
Pt1 Pt 0.5000 0.0000 0.8569
Ga1 Ga 0.5000 0.5000 0.7246
Pt2 Pt 0.0000 0.5000 0.1431
Pt3 Pt 0.5000 0.5000 0.5000
La1 La 0.0000 0.0000 0.5000
Pt4 Pt 0.0000 0.5000 0.8569
Ga2 Ga 0.5000 0.5000 0.2754
Pt5 Pt 0.5000 0.0000 0.1431
Cu1 Cu 0.0000 0.0000 0.0000
# ΔE_f = -0.48 eV/atom
# N(E_F) = 0.29 states/eV per atom
# E_tot = -5.5160 eV/atom
# total moment = 0.00 μB per formula unit
# space group = P4/mmm (123)